This record from Alexandria via LeMat-Bulk describes an optimized crystal structure of LiLa2RuF. The functional is PBE.

Output
The total moment comes out at 0.0 μB/f.u. The calculation puts the electronic total energy at -5.6692 eV per atom. The uncorrected formation energy is -1.0860 eV/atom.

Cell lengths 5.1338, 5.1338, 3.8260 Å; angles 90.00, 90.00, 90.00 degrees
Closest atoms and distances in Å follow each position.
Element x y z (fractional)
Li: 0.0000 0.0000 0.0000  2 F 1.91
La: 0.0000 0.5000 0.5000  2 F 2.57
La: 0.5000 0.0000 0.5000  2 F 2.57
Ru: 0.5000 0.5000 0.0000  8 La 3.20
F: 0.0000 0.0000 0.5000  2 Li 1.91

This record from Alexandria via LeMat-Bulk describes an optimized crystal structure of Li2LaSbF. The functional is PBE.

Output
The total moment comes out at 0.0 μB/f.u. The calculation puts the electronic total energy at -4.4283 eV per atom. The uncorrected formation energy is -1.4785 eV/atom.

Cell lengths 4.5420, 4.5420, 5.0673 Å; angles 90.00, 90.00, 90.00 degrees
Closest atoms and distances in Å follow each position.
Element x y z (fractional)
Li: 0.0000 0.5000 0.0000  2 F 2.27
Li: 0.5000 0.0000 0.0000  2 F 2.27
La: 0.0000 0.0000 0.5000  2 F 2.53
Sb: 0.5000 0.5000 0.5000  4 La 3.21, 8 Li 3.40
F: 0.0000 0.0000 0.0000  4 Li 2.27, 2 La 2.53

This record from Alexandria via LeMat-Bulk describes an optimized crystal structure of Li2LaSeF. The functional is PBE.

Output
The total moment comes out at 0.0 μB/f.u. The calculation puts the electronic total energy at -3.0041 eV per atom. The uncorrected formation energy is -0.1820 eV/atom.

Cell lengths 6.8586, 6.8586, 5.4433 Å; angles 90.00, 90.00, 90.00 degrees
Closest atoms and distances in Å follow each position.
Element x y z (fractional)
Li: 0.0000 0.5000 0.0000  2 La 3.43
Li: 0.5000 0.0000 0.0000  2 La 3.43
La: 0.0000 0.0000 0.0000  2 Se 2.72
Se: 0.0000 0.0000 0.5000  2 La 2.72
F: 0.5000 0.5000 0.5000  8 Li 4.38, 4 Se 4.85

This record from Alexandria via LeMat-Bulk describes an optimized crystal structure of LiLa2SiF. The functional is PBE.

Output
The total moment comes out at 1.8 μB/f.u. The calculation puts the electronic total energy at -4.1664 eV per atom. The uncorrected formation energy is -0.3538 eV/atom.

Cell lengths 5.9986, 5.9986, 4.0970 Å; angles 90.00, 90.00, 90.00 degrees
Closest atoms and distances in Å follow each position.
Element x y z (fractional)
Li: 0.0000 0.0000 0.0000  8 La 3.63
La: 0.0000 0.5000 0.5000  2 Si 3.00
La: 0.5000 0.0000 0.5000  2 Si 3.00
Si: 0.5000 0.5000 0.5000  2 F 2.05
F: 0.5000 0.5000 0.0000  2 Si 2.05

This record from Alexandria via LeMat-Bulk describes an optimized crystal structure of Li2LaSnF. The functional is PBE.

Output
The total moment comes out at 0.0 μB/f.u. The calculation puts the electronic total energy at -4.3199 eV per atom. The uncorrected formation energy is -1.3940 eV/atom.

Cell lengths 4.6000, 4.6000, 4.9799 Å; angles 90.00, 90.00, 90.00 degrees
Closest atoms and distances in Å follow each position.
Element x y z (fractional)
Li: 0.0000 0.5000 0.0000  2 F 2.30
Li: 0.5000 0.0000 0.0000  2 F 2.30
La: 0.0000 0.0000 0.5000  2 F 2.49
Sn: 0.5000 0.5000 0.5000  4 La 3.25, 8 Li 3.39
F: 0.0000 0.0000 0.0000  4 Li 2.30, 2 La 2.49

This record from Alexandria via LeMat-Bulk describes an optimized crystal structure of Li2LaTiF8. The functional is PBE.

Output
The total moment comes out at 1.0 μB/f.u. The calculation puts the electronic total energy at -6.0486 eV per atom. The uncorrected formation energy is -3.4135 eV/atom.

Cell lengths 4.3824, 4.9625, 7.3221 Å; angles 95.05, 90.42, 93.69 degrees
Closest atoms and distances in Å follow each position.
Element x y z (fractional)
Li: 0.0355 0.4631 0.3004  5 F 1.96-2.16
Li: 0.9645 0.5369 0.6996  5 F 1.96-2.16
La: 0.5000 0.0000 0.0000  6 F 2.28-2.46
Ti: 0.5000 0.0000 0.5000  6 F 1.93-2.06
F: 0.0998 0.2671 0.0550  1 Li 2.00
F: 0.1861 0.2565 0.5088  1 Ti 1.93, 1 Li 2.04
F: 0.3271 0.7717 0.2692  1 Li 1.96, 1 Ti 2.06
F: 0.3339 0.7818 0.7040  1 Li 1.96, 1 Ti 2.03
F: 0.6661 0.2182 0.2960  1 Li 1.96, 1 Ti 2.03
F: 0.6729 0.2283 0.7308  1 Li 1.96, 1 Ti 2.06
F: 0.8139 0.7435 0.4912  1 Ti 1.93, 1 Li 2.04
F: 0.9002 0.7329 0.9450  1 Li 2.00

This record from Alexandria via LeMat-Bulk describes an optimized crystal structure of Li2LaTlF8. The functional is PBE.

Output
The total moment comes out at 0.0 μB/f.u. The calculation puts the electronic total energy at -5.1217 eV per atom. The uncorrected formation energy is -2.9474 eV/atom.

Cell lengths 3.9709, 5.3043, 7.8665 Å; angles 83.06, 89.01, 80.55 degrees
Closest atoms and distances in Å follow each position.
Element x y z (fractional)
Li: 0.0648 0.0506 0.2993  5 F 2.01-2.14
Li: 0.9352 0.9494 0.7007  5 F 2.01-2.14
La: 0.5000 0.5000 0.0000  8 F 2.38-2.50
Tl: 0.5000 0.5000 0.5000  8 F 2.25-2.41
F: 0.0599 0.2473 0.0584  1 Li 2.05
F: 0.0626 0.2469 0.5141  2 Li 2.09-2.14
F: 0.4075 0.7499 0.2427  1 Li 2.01
F: 0.4280 0.7555 0.7103  1 Li 2.05, 1 Tl 2.25
F: 0.5720 0.2445 0.2897  1 Li 2.05, 1 Tl 2.25
F: 0.5925 0.2501 0.7573  1 Li 2.01
F: 0.9374 0.7531 0.4859  2 Li 2.09-2.14
F: 0.9401 0.7527 0.9416  1 Li 2.05

This record from Alexandria via LeMat-Bulk describes an optimized crystal structure of LiLaTl2F. The functional is PBE.

Output
The total moment comes out at 0.0 μB/f.u. The calculation puts the electronic total energy at -3.6418 eV per atom. The uncorrected formation energy is -0.9528 eV/atom.

Cell lengths 5.9623, 5.9623, 3.5475 Å; angles 90.00, 90.00, 90.00 degrees
Closest atoms and distances in Å follow each position.
Element x y z (fractional)
Li: 0.0000 0.0000 0.0000  2 F 1.77
La: 0.5000 0.5000 0.5000  8 Tl 3.47, 2 La 3.55
Tl: 0.0000 0.5000 0.0000  2 Li 2.98
Tl: 0.5000 0.0000 0.0000  2 Li 2.98
F: 0.0000 0.0000 0.5000  2 Li 1.77